The following is a DFT calculation (PBE) of crystalline AsIr2Au at its relaxed geometry.

Cell lengths 2.9415, 4.6116, 4.8676 Å; angles 90.00, 90.00, 90.00 degrees
Positions (direct):
1 As 0.0000 0.0000 0.0000
2 Ir 0.0000 0.5000 0.2808
3 Ir 0.5000 0.0000 0.4036
4 Au 0.5000 0.5000 0.7654

Space group = Pmm2 (25)
DOS(E_F) = 4.01 states/eV/cell
DFT total energy = -24.5 eV for the cell shown
Energy relative to the elements = 0.30 eV per atom

---

The following is a DFT calculation (PBE) of crystalline AgCl2 at its relaxed geometry.

Cell lengths 7.0933, 7.0933, 6.9643 Å; angles 90.00, 90.00, 150.40 degrees
Positions (direct):
1 Ag 0.1767 0.8233 0.7500
2 Ag 0.8233 0.1767 0.2500
3 Cl 0.1995 0.8005 0.2500
4 Cl 0.4441 0.5559 0.2500
5 Cl 0.5559 0.4441 0.7500
6 Cl 0.8005 0.1995 0.7500

Space group = Cmcm (63)
DOS(E_F) = 3.90 states/eV/cell
DFT total energy = -15.0 eV for the cell shown
ΔE_f (raw) = -0.320 eV/atom

---

The following is a DFT calculation (PBE) of crystalline Mn2Au3 at its relaxed geometry.

Cell lengths 7.4539, 5.4334, 8.4853 Å; angles 60.10, 39.19, 80.71 degrees
Positions (direct):
1 Mn 0.0535 0.4465 0.0560
2 Mn 0.1940 0.8060 0.1965
3 Mn 0.4465 0.0535 0.4440
4 Mn 0.8060 0.1940 0.8035
5 Au 0.0015 0.0015 0.9985
6 Au 0.2515 0.2515 0.2485
7 Au 0.3936 0.6081 0.3885
8 Au 0.6081 0.3936 0.6097
9 Au 0.6403 0.8615 0.6419
10 Au 0.8615 0.6403 0.8564

Space group = Fdd2 (43)
Energy above the most stable polymorph in this dataset = 0.41 eV/f.u.
DOS(E_F) = 4.92 states/eV/cell
DFT total energy = -56.1 eV for the cell shown
Energy relative to the elements = 0.02 eV per atom

---

The following is a DFT calculation (PBE) of crystalline Pr5CdGa4 at its relaxed geometry.

Cell lengths 3.7184, 3.7184, 19.1864 Å; angles 90.00, 90.00, 90.00 degrees
Positions (direct):
1 Pr 0.0000 0.0000 0.0000
2 Pr 0.0000 0.0000 0.1945
3 Pr 0.0000 0.0000 0.3892
4 Pr 0.0000 0.0000 0.6108
5 Pr 0.0000 0.0000 0.8055
6 Cd 0.5000 0.5000 0.5000
7 Ga 0.5000 0.5000 0.0972
8 Ga 0.5000 0.5000 0.2948
9 Ga 0.5000 0.5000 0.7052
10 Ga 0.5000 0.5000 0.9028

Space group = P4/mmm (123)
DOS(E_F) = 6.36 states/eV/cell
DFT total energy = -41.9 eV for the cell shown
Energy relative to the elements = -0.50 eV per atom

---

The following is a DFT calculation (PBE) of crystalline LaRhSe2N at its relaxed geometry.

Cell lengths 5.1738, 5.1738, 3.7814 Å; angles 90.00, 90.00, 90.00 degrees
Positions (direct):
1 La 0.0000 0.0000 0.0000
2 Rh 0.5000 0.5000 0.5000
3 Se 0.0000 0.5000 0.5000
4 Se 0.5000 0.0000 0.5000
5 N 0.5000 0.5000 0.0000

Space group = P4/mmm (123)
Energy above the most stable polymorph in this dataset = 0.00 eV/f.u.
DOS(E_F) = 2.03 states/eV/cell
DFT total energy = -30.7 eV for the cell shown
ΔE_f (raw) = -0.634 eV/atom

---

The following is a DFT calculation (PBE) of crystalline Sm6TlCd2 at its relaxed geometry.

Cell lengths 8.9896, 8.9896, 8.9896 Å; angles 110.47, 109.78, 108.16 degrees
Positions (direct):
1 Sm 0.0526 0.2295 0.8231
2 Sm 0.2526 0.2993 0.5519
3 Sm 0.2526 0.7007 0.9533
4 Sm 0.2652 0.5856 0.3204
5 Sm 0.2652 0.9447 0.6796
6 Sm 0.4064 0.2295 0.1769
7 Sm 0.5936 0.7705 0.8231
8 Sm 0.7348 0.0553 0.3204
9 Sm 0.7348 0.4144 0.6796
10 Sm 0.7474 0.2993 0.0467
11 Sm 0.7474 0.7007 0.4481
12 Sm 0.9474 0.7705 0.1769
13 Tl 0.0000 0.5000 0.5000
14 Tl 0.5000 0.5000 0.0000
15 Cd 0.0000 0.1395 0.1395
16 Cd 0.0000 0.8605 0.8605
17 Cd 0.3643 0.0000 0.3643
18 Cd 0.6357 0.0000 0.6357

Space group = Immm (71)
Energy above the most stable polymorph in this dataset = 0.42 eV/f.u.
DOS(E_F) = 23.51 states/eV/cell
DFT total energy = -67.9 eV for the cell shown
Energy relative to the elements = -0.16 eV per atom

---

The following is a DFT calculation (PBE) of crystalline LuThAgSn at its relaxed geometry.

Cell lengths 5.2774, 5.2774, 5.2774 Å; angles 60.00, 60.00, 60.00 degrees
Positions (direct):
1 Lu 0.0000 0.0000 0.0000
2 Th 0.5000 0.5000 0.5000
3 Ag 0.7500 0.7500 0.7500
4 Sn 0.2500 0.2500 0.2500

Space group = F-43m (216)
DOS(E_F) = 4.35 states/eV/cell
DFT total energy = -20.1 eV for the cell shown
Energy relative to the elements = -0.32 eV per atom

---

The following is a DFT calculation (PBE) of crystalline Nd4InSn at its relaxed geometry.

Cell lengths 11.4335, 11.4335, 6.5795 Å; angles 90.00, 90.00, 150.83 degrees
Positions (direct):
1 Nd 0.0650 0.9350 0.7500
2 Nd 0.2093 0.7907 0.5045
3 Nd 0.2093 0.7907 0.9955
4 Nd 0.3744 0.6256 0.7500
5 Nd 0.6256 0.3744 0.2500
6 Nd 0.7907 0.2093 0.0045
7 Nd 0.7907 0.2093 0.4955
8 Nd 0.9350 0.0650 0.2500
9 In 0.0754 0.9246 0.2500
10 In 0.9246 0.0754 0.7500
11 Sn 0.3436 0.6564 0.2500
12 Sn 0.6564 0.3436 0.7500

Space group = Cmcm (63)
Energy above the most stable polymorph in this dataset = 0.00 eV/f.u.
DOS(E_F) = 17.91 states/eV/cell
DFT total energy = -54.7 eV for the cell shown
Energy relative to the elements = -0.25 eV per atom

---

The following is a DFT calculation (PBE) of crystalline CePb2 at its relaxed geometry.

Cell lengths 6.3006, 6.3006, 6.3006 Å; angles 142.65, 142.65, 53.85 degrees
Positions (direct):
1 Ce 0.0000 0.0000 0.0000
2 Pb 0.3193 0.3193 0.0000
3 Pb 0.6807 0.6807 0.0000

Space group = I4/mmm (139)
DOS(E_F) = 9.02 states/eV/cell
DFT total energy = -13.8 eV for the cell shown
Energy relative to the elements = -0.15 eV per atom

---

The following is a DFT calculation (PBE) of crystalline ScTcSbI2 at its relaxed geometry.

Cell lengths 5.4750, 5.4750, 5.0945 Å; angles 90.00, 90.00, 90.00 degrees
Positions (direct):
1 Sc 0.0000 0.0000 0.0000
2 Tc 0.5000 0.5000 0.5000
3 Sb 0.5000 0.5000 0.0000
4 I 0.0000 0.5000 0.5000
5 I 0.5000 0.0000 0.5000

Space group = P4/mmm (123)
Energy above the most stable polymorph in this dataset = 0.00 eV/f.u.
DOS(E_F) = 9.11 states/eV/cell
DFT total energy = -21.3 eV for the cell shown
ΔE_f (raw) = 0.531 eV/atom

---

The following is a DFT calculation (PBE) of crystalline TaPdSe2 at its relaxed geometry.

Cell lengths 6.2800, 6.2800, 8.6422 Å; angles 107.14, 107.14, 31.52 degrees
Positions (direct):
1 Ta 0.1536 0.1536 0.4194
2 Ta 0.8464 0.8464 0.5806
3 Pd 0.3519 0.3519 0.0625
4 Pd 0.6481 0.6481 0.9375
5 Se 0.3468 0.3468 0.3513
6 Se 0.4235 0.4235 0.8162
7 Se 0.5765 0.5765 0.1838
8 Se 0.6532 0.6532 0.6487

Space group = C2/m (12)
Energy above the most stable polymorph in this dataset = 0.75 eV/f.u.
DOS(E_F) = 4.77 states/eV/cell
DFT total energy = -50.7 eV for the cell shown
ΔE_f (raw) = -0.337 eV/atom

---

The following is a DFT calculation (PBE) of crystalline Dy7Y12Cd at its relaxed geometry.

Cell lengths 8.7458, 8.7458, 8.7458 Å; angles 100.21, 100.21, 100.21 degrees
Positions (direct):
1 Dy 0.0000 0.0000 0.0000
2 Dy 0.1736 0.5944 0.5944
3 Dy 0.4056 0.4056 0.8264
4 Dy 0.4056 0.8264 0.4056
5 Dy 0.5944 0.1736 0.5944
6 Dy 0.5944 0.5944 0.1736
7 Dy 0.8264 0.4056 0.4056
8 Y 0.0000 0.2607 0.7393
9 Y 0.0000 0.7393 0.2607
10 Y 0.1537 0.1537 0.4164
11 Y 0.1537 0.4164 0.1537
12 Y 0.2607 0.0000 0.7393
13 Y 0.2607 0.7393 0.0000
14 Y 0.4164 0.1537 0.1537
15 Y 0.5836 0.8463 0.8463
16 Y 0.7393 0.0000 0.2607
17 Y 0.7393 0.2607 0.0000
18 Y 0.8463 0.5836 0.8463
19 Y 0.8463 0.8463 0.5836
20 Cd 0.5000 0.5000 0.5000

Space group = R-3m (166)
DOS(E_F) = 36.70 states/eV/cell
DFT total energy = -109.6 eV for the cell shown
Energy relative to the elements = 0.05 eV per atom

---

Question: Which value of DFT total energy does entry 10 give?
Answer: -21.3 eV for the cell shown

---

Question: The lowest DFT total energy belongs to which entry?
Answer: Dy7Y12Cd